This record from the Alexandria database describes a relaxed structure of ZrSc2Cu. The functional is GGA-PBE.

Results
The crystal system is monoclinic. The calculated total energy is -6.238 eV per atom. Its polymorph energy (0 for the lowest one) is 220 meV per atom. The value obtained for the density of states at the Fermi level is 5.4 states/eV per cell. For the magnetic moment, the calculation gives 0.0 μB/f.u. The energy of formation is 89 meV per atom.

abc: 5.126 5.126 3.214
angles: 90.13 90.13 102.20
Sites, in units of the cell vectors:
Cu  0.000  0.500  0.500
Sc  0.500  0.500  0.000
Sc  0.000  0.000  0.000
Zr  0.500  0.000  0.500

This record from the Alexandria database describes a relaxed structure of Zr2ScCu2. The functional is GGA-PBE.

Results
The crystal system is tetragonal. The calculated total energy is -6.232 eV per atom. Its polymorph energy (0 for the lowest one) is 197 meV per atom. The value obtained for the density of states at the Fermi level is 6.8 states/eV per cell. For the magnetic moment, the calculation gives 0.0 μB/f.u. The energy of formation is 93 meV per atom.

abc: 4.162 4.162 6.519
angles: 71.38 71.38 90.00
Sites, in units of the cell vectors:
Zr  0.750  0.250  0.500
Zr  0.250  0.750  0.500
Cu  0.403  0.403  0.194
Cu  0.597  0.597  0.806
Sc  0.000  0.000  0.000

This record from the Alexandria database describes a relaxed structure of Zr2ScCu3. The functional is GGA-PBE.

Results
The crystal system is orthorhombic. The calculated total energy is -6.106 eV per atom. Its polymorph energy (0 for the lowest one) is 5 meV per atom. The value obtained for the density of states at the Fermi level is 13.3 states/eV per cell. For the magnetic moment, the calculation gives 1.1 μB/f.u. The energy of formation is -154 meV per atom.

abc: 4.631 7.313 6.534
angles: 90.00 90.00 71.54
Sites, in units of the cell vectors:
Cu  0.500  0.000  0.764
Cu  0.500  0.000  0.236
Cu  0.831  0.339  0.248
Cu  0.169  0.661  0.248
Cu  0.831  0.339  0.752
Cu  0.169  0.661  0.752
Sc  0.668  0.665  0.000
Sc  0.332  0.335  0.000
Zr  0.000  0.000  0.500
Zr  0.336  0.329  0.500
Zr  0.664  0.671  0.500
Zr  0.000  0.000  0.000

This record from the Alexandria database describes a relaxed structure of ZrSc2Cu. The functional is GGA-PBE.

Results
The crystal system is tetragonal. The calculated total energy is -6.235 eV per atom. Its polymorph energy (0 for the lowest one) is 223 meV per atom. The value obtained for the density of states at the Fermi level is 6.1 states/eV per cell. For the magnetic moment, the calculation gives 0.0 μB/f.u. The energy of formation is 92 meV per atom.

abc: 4.982 4.982 3.297
angles: 90.00 90.00 90.00
Sites, in units of the cell vectors:
Zr  0.500  0.000  0.500
Sc  0.500  0.500  0.000
Sc  0.000  0.000  0.000
Cu  0.000  0.500  0.500

This record from the Alexandria database describes a relaxed structure of CuSe2. The functional is GGA-PBE.

Results
The crystal system is tetragonal. The calculated total energy is -3.650 eV per atom. The value obtained for the density of states at the Fermi level is 3.2 states/eV per cell. The uncorrected formation energy is 0.038 eV/atom. For the magnetic moment, the calculation gives 0.0 μB/f.u.

abc: 4.143 4.143 7.664
angles: 90.00 90.00 90.00
Sites, in units of the cell vectors:
Se  0.000  0.500  0.487
Se  0.500  0.000  0.513
Se  0.000  0.000  0.000
Se  0.500  0.500  0.000
Cu  0.000  0.500  0.181
Cu  0.500  0.000  0.819

This record from the Alexandria database describes a relaxed structure of CuSe3. The functional is GGA-PBE.

Results
The crystal system is orthorhombic. The calculated total energy is -3.371 eV per atom. The value obtained for the density of states at the Fermi level is 2.2 states/eV per cell. The uncorrected formation energy is 0.267 eV/atom. For the magnetic moment, the calculation gives 0.0 μB/f.u.

abc: 3.675 3.479 6.325
angles: 90.00 90.00 90.00
Sites, in units of the cell vectors:
Se  0.500  0.000  0.521
Se  0.500  0.500  0.842
Se  0.000  0.500  0.291
Cu  0.000  0.000  0.012

This record from the Alexandria database describes a relaxed structure of Cu3Se. The functional is GGA-PBE.

Results
The crystal system is cubic. The calculated total energy is -3.864 eV per atom. The value obtained for the density of states at the Fermi level is 1.9 states/eV per cell. The uncorrected formation energy is 0.079 eV/atom. For the magnetic moment, the calculation gives 0.0 μB/f.u.

abc: 3.801 3.801 3.801
angles: 90.00 90.00 90.00
Sites, in units of the cell vectors:
Cu  0.000  0.500  0.500
Cu  0.500  0.500  0.000
Cu  0.500  0.000  0.500
Se  0.000  0.000  0.000

This record from the Alexandria database describes a relaxed structure of CuSe. The functional is GGA-PBE.

Results
The crystal system is orthorhombic. The calculated total energy is -3.626 eV per atom. The value obtained for the density of states at the Fermi level is 2.0 states/eV per cell. The uncorrected formation energy is 0.164 eV/atom. For the magnetic moment, the calculation gives 0.0 μB/f.u.

abc: 3.964 3.964 3.412
angles: 90.00 90.00 127.79
Sites, in units of the cell vectors:
Se  0.500  0.500  0.500
Cu  0.000  0.000  0.000

- Among the records above, which one has the lowest calculated total energy?
  number 1